Model i:
Entry from Alexandria via LeMat-Bulk: Mg5Hg at its PBEsol-relaxed geometry (SCAN).

Geometry as CIF:
```
data_Mg5Hg
_chemical_formula_sum 'Mg10 Hg2'
_space_group_name_H-M_alt 'C m m m'
_space_group_IT_number 65
_space_group_name_Hall '-C 2 2'
_cell_length_a 4.4400
_cell_length_b 13.1463
_cell_length_c 4.3963
_cell_angle_alpha 90.00
_cell_angle_beta 90.00
_cell_angle_gamma 90.00
loop_
_atom_site_label
_atom_site_type_symbol
_atom_site_fract_x
_atom_site_fract_y
_atom_site_fract_z
Mg1 Mg 0.0000 0.0000 0.0000
Mg2 Mg 0.0000 0.1619 0.5000
Mg3 Mg 0.0000 0.3354 0.0000
Hg1 Hg 0.0000 0.5000 0.5000
```

- Density of states at the Fermi level: 0.35 states/eV per atom
- Crystal system: orthorhombic

---

Model ii:
Entry from Alexandria via LeMat-Bulk: Mg5Hg at its PBEsol-relaxed geometry (SCAN).

Geometry as CIF:
```
data_Mg5Hg
_chemical_formula_sum 'Mg10 Hg2'
_space_group_name_H-M_alt 'A m m 2'
_space_group_IT_number 38
_cell_length_a 5.0165
_cell_length_b 3.2240
_cell_length_c 15.9899
_cell_angle_alpha 90.00
_cell_angle_beta 90.00
_cell_angle_gamma 90.00
loop_
_space_group_symop_operation_xyz
'x,y,z'
'-x,-y,z'
'-x,y,z'
'x,-y,z'
'x,y+1/2,z+1/2'
'-x,-y+1/2,z+1/2'
'-x,y+1/2,z+1/2'
'x,-y+1/2,z+1/2'
loop_
_atom_site_label
_atom_site_type_symbol
_atom_site_fract_x
_atom_site_fract_y
_atom_site_fract_z
Mg1 Mg 0.0000 0.0000 0.0000
Mg2 Mg 0.0000 0.0000 0.3242
Mg3 Mg 0.5000 0.0000 0.2113
Mg4 Mg 0.5000 0.0000 0.5482
Mg5 Mg 0.5000 0.0000 0.8822
Hg1 Hg 0.0000 0.0000 0.6608
```

- Density of states at the Fermi level: 0.35 states/eV per atom
- Crystal system: orthorhombic

---

In meV/atom, relative to the most stable structure: model i 0; model ii 18.

---

Model i:
Entry from Alexandria via LeMat-Bulk: MgMn2Hg at its PBEsol-relaxed geometry (SCAN).

Geometry as CIF:
```
data_MgMn2Hg
_chemical_formula_sum 'Mg1 Mn2 Hg1'
_space_group_name_H-M_alt 'P 4/m m m'
_space_group_IT_number 123
_space_group_name_Hall '-P 4 2'
_cell_length_a 3.9962
_cell_length_b 3.9962
_cell_length_c 3.9940
_cell_angle_alpha 90.00
_cell_angle_beta 90.00
_cell_angle_gamma 90.00
loop_
_atom_site_label
_atom_site_type_symbol
_atom_site_fract_x
_atom_site_fract_y
_atom_site_fract_z
Mg1 Mg 0.0000 0.0000 0.0000
Mn1 Mn 0.0000 0.5000 0.5000
Hg1 Hg 0.5000 0.5000 0.0000
```

- Density of states at the Fermi level: 0.39 states/eV per atom
- Crystal system: tetragonal

---

Model ii:
Entry from Alexandria via LeMat-Bulk: MgMn2Hg at its PBEsol-relaxed geometry (SCAN).

Geometry as CIF:
```
data_MgMn2Hg
_chemical_formula_sum 'Mg2 Mn4 Hg2'
_space_group_name_H-M_alt 'I -4 m 2'
_space_group_IT_number 119
_space_group_name_Hall 'I -4 -2'
_cell_length_a 3.9703
_cell_length_b 3.9703
_cell_length_c 8.2728
_cell_angle_alpha 90.00
_cell_angle_beta 90.00
_cell_angle_gamma 90.00
loop_
_atom_site_label
_atom_site_type_symbol
_atom_site_fract_x
_atom_site_fract_y
_atom_site_fract_z
Mg1 Mg 0.0000 0.0000 0.0000
Mn1 Mn 0.0000 0.0000 0.5000
Mn2 Mn 0.0000 0.5000 0.2500
Hg1 Hg 0.0000 0.5000 0.7500
```

- Density of states at the Fermi level: 0.67 states/eV per atom
- Crystal system: tetragonal

---

In meV/atom, relative to the most stable structure: model i 0; model ii 62.